{"formula": "TlAgP2", "functional": "GGA-PBE", "state": "relaxed", "lattice": [[-2.7532, 5.5155, -0.7646], [-3.5456, -4.4360, 0.2710], [-1.3686, 1.2287, 2.3338]], "species": ["Ag", "P", "P", "Tl"], "frac_coords": [[0.5000, 0.5000, 0.0000], [0.0000, 0.0000, 0.0000], [0.5000, 0.0000, 0.5000], [0.0000, 0.5000, 0.5000]], "polymorph_energy_ev_per_fu": 1.97}